The following is a DFT calculation (meta-GGA SCAN) of a PBEsol-optimized structure of CrTeRh2.

- Calculated total energy: -367.425 eV for the cell shown
- Theoretical density: 10.144 g cm⁻³
- Energy relative to the elements, uncorrected: 176 meV per atom

a = 2.9780 Å, b = 2.9780 Å, c = 24.6438 Å
α = 90.00°, β = 90.00°, γ = 120.00°
Space group R-3m (No. 166, hexagonal axes)
Symmetry-distinct sites (fractional):
1 Cr 0.0000 0.0000 0.0000
2 Te 0.0000 0.0000 0.5000
3 Rh 0.0000 0.0000 0.2559